(1)
A relaxed structure of Ac4Pr3Y2, computed with PBE-GGA.

## Properties
DFT formation energy: 36 meV/atom
energy above the lowest structure with this stoichiometry: 0.000 eV/atom
V: 39.06 Å³/atom
DOS at the Fermi energy: 14.8 states/eV/f.u.

```
Ac4Pr3Y2
1.0
5.4369 -0.0021 0.0013
2.7152 5.7208 1.5761
0.0004 0.3482 11.3959
Ac Pr Y
4 3 2
direct
0.6665 0.6670 0.8890 Ac
0.0018 0.9962 0.3318 Ac
0.9982 0.0038 0.6682 Ac
0.3335 0.3330 0.1110 Ac
0.3337 0.3327 0.4471 Pr
0.0000 0.0000 0.0000 Pr
0.6663 0.6673 0.5529 Pr
0.3299 0.3400 0.7734 Y
0.6701 0.6600 0.2266 Y
```

***

(2)
A relaxed structure of SmErCoAg, computed with PBE-GGA.

## Properties
DFT formation energy: -148 meV/atom
V: 21.78 Å³/atom
DOS at the Fermi energy: 3.0 states/eV/f.u.

```
SmErCoAg
1.0
-0.5246 -4.0792 2.8004
2.4726 -0.4012 4.2992
-2.4609 0.2459 4.3176
Co Ag Sm Er
1 1 1 1
direct
0.7500 0.7500 0.7500 Co
0.2500 0.2500 0.2500 Ag
0.0000 0.0000 0.0000 Sm
0.5000 0.5000 0.5000 Er
```

***

(3)
A relaxed structure of Pm2Al5Ag5, computed with PBE-GGA.

## Properties
DFT formation energy: -345 meV/atom
V: 19.71 Å³/atom
DOS at the Fermi energy: 3.8 states/eV/f.u.

```
Pm2Al5Ag5
1.0
-3.0245 2.5836 2.0091
1.3994 -2.1422 4.8613
6.6559 6.9129 1.1302
Pm Al Ag
2 5 5
direct
0.0000 0.5000 0.0000 Pm
0.0000 0.0000 0.5000 Pm
0.5000 0.5000 0.5000 Al
0.5000 0.7484 0.2446 Al
0.5000 0.2516 0.7554 Al
0.5000 0.2516 0.2446 Al
0.5000 0.7484 0.7554 Al
0.0000 0.5000 0.3345 Ag
0.0000 0.0000 0.8200 Ag
0.0000 0.0000 0.1800 Ag
0.0000 0.5000 0.6655 Ag
0.5000 0.0000 0.0000 Ag
```

***

(4)
A relaxed structure of ZnCuBr4, computed with PBE-GGA.

## Properties
energy relative to the elements, uncorrected: -0.52 eV per atom
V: 29.36 Å³/atom
DOS at the Fermi energy: 1.7 states/eV/f.u.

```
ZnCuBr4
1.0
3.6088 0.0000 0.0000
0.0000 7.1421 0.3194
0.0000 0.4559 13.6888
Zn Cu Br
2 2 8
direct
0.5000 0.5000 0.5000 Zn
0.0000 0.0000 0.0000 Zn
0.0000 0.0000 0.5000 Cu
0.5000 0.5000 0.0000 Cu
0.5000 0.1461 0.3979 Br
0.0000 0.3539 0.1021 Br
0.5000 0.8539 0.6021 Br
0.0000 0.6461 0.8979 Br
0.0000 0.6379 0.3855 Br
0.5000 0.8621 0.1146 Br
0.0000 0.3621 0.6145 Br
0.5000 0.1379 0.8854 Br
```

***

Among the records above, which one has the lowest DOS at the Fermi energy? ZnCuBr4